Entry 1:
Rb2YOF6: relaxed, PBE.

abc: 6.2964 6.2964 6.3121
angles: 60.08 60.08 90.00
Atoms (fractional coordinates):
1 F 0.7570 0.7570 0.4861
2 F 0.7557 0.2443 0.0000
3 F 0.7557 0.7557 0.0000
4 F 0.2443 0.2443 0.0000
5 F 0.2443 0.7557 0.0000
6 F 0.2430 0.2430 0.5139
7 Rb 0.7500 0.2500 0.5000
8 Rb 0.2500 0.7500 0.5000
9 Y 0.0000 0.0000 0.0000
10 O 0.5000 0.5000 0.0000

Properties
As for the formation energy from raw total energies: -2.51 eV per atom. As for the crystal system: tetragonal.

Entry 2:
Rb2ZnOF: relaxed, PBE.

abc: 6.3086 4.2391 6.3086
angles: 90.00 90.00 90.00
Atoms (fractional coordinates):
1 Zn 0.0000 0.0000 0.0000
2 F 0.0000 0.5000 0.0000
3 Rb 0.5000 0.0000 0.0000
4 Rb 0.0000 0.0000 0.5000
5 O 0.5000 0.5000 0.5000

Properties
As for the formation energy from raw total energies: -0.58 eV per atom. As for the crystal system: tetragonal.

Entry 3:
Rb2Zr3OF12: relaxed, PBE.

abc: 11.0865 11.0865 11.0865
angles: 41.50 41.50 41.50
Atoms (fractional coordinates):
1 F 0.0837 0.6483 0.6483
2 F 0.5978 0.0895 0.0895
3 F 0.3521 0.6479 0.0000
4 F 0.0000 0.3521 0.6479
5 F 0.0894 0.5978 0.0894
6 F 0.6292 0.2932 0.2932
7 F 0.3708 0.7068 0.7068
8 F 0.4022 0.9105 0.9105
9 F 0.0000 0.6479 0.3521
10 F 0.2932 0.2932 0.6292
11 F 0.7068 0.3708 0.7068
12 F 0.9163 0.3517 0.3517
13 F 0.6483 0.0837 0.6483
14 F 0.6483 0.6483 0.0837
15 F 0.3517 0.9163 0.3517
16 F 0.3521 0.0000 0.6479
17 F 0.9105 0.9105 0.4022
18 F 0.7068 0.7068 0.3708
19 F 0.0895 0.0895 0.5978
20 F 0.6479 0.3521 0.0000
21 F 0.9106 0.4022 0.9106
22 F 0.6479 0.0000 0.3521
23 F 0.3517 0.3517 0.9163
24 F 0.2932 0.6292 0.2932
25 O 0.2867 0.2867 0.2867
26 O 0.7133 0.7133 0.7133
27 Zr 0.5758 0.5758 0.0292
28 Zr 0.0292 0.5758 0.5758
29 Zr 0.4242 0.4242 0.9708
30 Zr 0.9708 0.4242 0.4242
31 Zr 0.5758 0.0292 0.5758
32 Zr 0.4242 0.9708 0.4242
33 Rb 0.0000 0.0000 0.0000
34 Rb 0.1380 0.1380 0.1380
35 Rb 0.5000 0.5000 0.5000
36 Rb 0.8620 0.8620 0.8620

Properties
As for the formation energy from raw total energies: -3.54 eV per atom. As for the crystal system: trigonal.

Entry 4:
RbZrO2F: relaxed, PBE.

abc: 4.5251 4.5251 4.5267
angles: 90.00 90.00 90.00
Atoms (fractional coordinates):
1 O 0.5000 0.0000 0.0000
2 O 0.0000 0.5000 0.0000
3 Zr 0.5000 0.5000 0.5000
4 Rb 0.0000 0.0000 0.0000
5 F 0.0000 0.0000 0.5000

Properties
As for the formation energy from raw total energies: 0.07 eV per atom. As for the crystal system: tetragonal.

Entry 5:
RbZrOF2: relaxed, PBE.

abc: 4.6967 4.6967 4.7778
angles: 90.00 90.00 90.00
Atoms (fractional coordinates):
1 F 0.5000 0.0000 0.0000
2 F 0.0000 0.5000 0.0000
3 Rb 0.0000 0.0000 0.0000
4 Zr 0.5000 0.5000 0.5000
5 O 0.0000 0.0000 0.5000

Properties
As for the formation energy from raw total energies: -0.54 eV per atom. The polymorph energy (0 for the lowest one) is 2.2531 eV/atom. As for the crystal system: tetragonal.

Entry 6:
RbZrO2F: relaxed, PBE.

abc: 4.1904 4.1904 4.4476
angles: 90.00 90.00 90.00
Atoms (fractional coordinates):
1 F 0.0000 0.0000 0.5000
2 Zr 0.0000 0.0000 0.0000
3 O 0.0000 0.5000 0.0000
4 O 0.5000 0.0000 0.0000
5 Rb 0.5000 0.5000 0.5000

Properties
As for the formation energy from raw total energies: -2.93 eV per atom. As for the crystal system: tetragonal.

Entry 7:
RbZrOF2: relaxed, PBE.

abc: 4.5180 4.5180 4.1578
angles: 90.00 90.00 90.00
Atoms (fractional coordinates):
1 F 0.5000 0.0000 0.0000
2 F 0.0000 0.5000 0.0000
3 O 0.0000 0.0000 0.5000
4 Rb 0.5000 0.5000 0.5000
5 Zr 0.0000 0.0000 0.0000

Properties
As for the formation energy from raw total energies: -2.80 eV per atom. The polymorph energy (0 for the lowest one) is 0.0000 eV/atom. As for the crystal system: tetragonal.

Entry 8:
Rb2ZrOF6: relaxed, PBE.

abc: 6.4223 6.4223 6.7187
angles: 61.45 61.45 90.00
Atoms (fractional coordinates):
1 F 0.7761 0.7761 0.0000
2 F 0.2058 0.2058 0.5884
3 F 0.7942 0.7942 0.4116
4 F 0.7761 0.2239 0.0000
5 F 0.2239 0.7761 0.0000
6 F 0.2239 0.2239 0.0000
7 O 0.5000 0.5000 0.0000
8 Zr 0.0000 0.0000 0.0000
9 Rb 0.2500 0.7500 0.5000
10 Rb 0.7500 0.2500 0.5000

Properties
As for the formation energy from raw total energies: -2.70 eV per atom. As for the crystal system: tetragonal.